The following is a DFT calculation (PBE) of crystalline CePr2Dy3As6 at its relaxed geometry.

Unit cell a=18.2745 b=4.2030 c=8.3950 alpha=90.00 beta=103.15 gamma=90.00
Space group C2/m (No. 12)
One atom of each set of equivalent atoms:
Ce  0.0000  0.0000  0.0000 (multiplicity 2)
Pr  0.1669  0.5000  0.3346 (multiplicity 4)
Dy  0.0000  0.0000  0.5000 (multiplicity 2)
Dy  0.1677  0.5000  0.8334 (multiplicity 4)
As  0.0028  0.5000  0.7497 (multiplicity 4)
As  0.1640  0.0000  0.5902 (multiplicity 4)
As  0.1667  0.0000  0.0755 (multiplicity 4)

- DOS at the Fermi energy: 12.183 states/eV per cell
- Energy of formation from the pure elements: -1.504 eV/atom
- Total energy: -6.271 eV per atom

***

The following is a DFT calculation (PBE) of crystalline SrAc6S8 at its relaxed geometry.

Unit cell a=12.1527 b=12.1527 c=12.1527 alpha=90.00 beta=90.00 gamma=90.00
Space group Fm-3m (No. 225)
One atom of each set of equivalent atoms:
Sr  0.0000  0.0000  0.0000 (multiplicity 4)
Ac  0.0000  0.2500  0.2500 (multiplicity 24)
S  0.0000  0.0000  0.2450 (multiplicity 24)
S  0.2500  0.2500  0.2500 (multiplicity 8)

- Uncorrected formation energy: -2.056 eV/atom
- DOS at the Fermi energy: 15.593 states/eV per cell
- Total energy: -6.013 eV per atom

***

The following is a DFT calculation (PBE) of crystalline RbH at its relaxed geometry.

Unit cell a=9.8486 b=9.8486 c=5.9152 alpha=90.00 beta=90.00 gamma=90.00
Space group I4/m (No. 87)
One atom of each set of equivalent atoms:
Rb  0.1472  0.3496  0.0000 (multiplicity 8)
H  0.1450  0.3517  0.5000 (multiplicity 8)

- DOS at the Fermi energy: 0.000 states/eV per cell
- Total energy: -2.295 eV per atom

***

The following is a DFT calculation (PBE) of crystalline NaCa2SiH at its relaxed geometry.

Unit cell a=4.8596 b=4.8596 c=4.3428 alpha=90.00 beta=90.00 gamma=90.00
Space group P4/mmm (No. 123)
One atom of each set of equivalent atoms:
Na  0.0000  0.0000  0.0000 (multiplicity 1)
Ca  0.0000  0.5000  0.5000 (multiplicity 2)
Si  0.5000  0.5000  0.0000 (multiplicity 1)
H  0.0000  0.0000  0.5000 (multiplicity 1)

- DOS at the Fermi energy: 0.829 states/eV per cell
- Total energy: -3.115 eV per atom

***

DOS at the Fermi energy of number 1 (CePr2Dy3As6)?
12.183 states/eV per cell

***

Which formula does entry 3 have?
RbH

***

What did the third record say?
The following is a DFT calculation (PBE) of crystalline RbH at its relaxed geometry.

Unit cell a=9.8486 b=9.8486 c=5.9152 alpha=90.00 beta=90.00 gamma=90.00
Space group I4/m (No. 87)
One atom of each set of equivalent atoms:
Rb  0.1472  0.3496  0.0000 (multiplicity 8)
H  0.1450  0.3517  0.5000 (multiplicity 8)

- DOS at the Fermi energy: 0.000 states/eV per cell
- Total energy: -2.295 eV per atom